Entry 1:
# MgCdInBi2 (PBE, optimized geometry)
data_MgCdInBi2
_chemical_formula_sum 'Mg1 Cd1 In1 Bi2'
_cell_length_a 5.877
_cell_length_b 5.319
_cell_length_c 5.877
_cell_angle_alpha 90.00
_cell_angle_beta 90.00
_cell_angle_gamma 90.00
_space_group_name_H-M_alt 'P 1'
_space_group_IT_number 1
_space_group_name_Hall 'P 1'
loop_
_atom_site_label
_atom_site_fract_x
_atom_site_fract_y
_atom_site_fract_z
Mg1 0.500 0.500 0.500
Bi1 0.500 0.000 0.000
Cd1 0.000 0.500 0.000
Bi2 0.000 0.000 0.500
In1 0.000 0.000 0.000
# Electronic total energy = -0.1525 Ry/atom
# Size of the total moment = 0.0 μB per formula unit
# Energy of formation from the pure elements = 0.527 eV per atom
# Crystal system = tetragonal
# Space group = P4/mmm, No. 123



Entry 2:
# DyThO4 (PBE, optimized geometry)
data_DyThO4
_chemical_formula_sum 'Dy1 Th1 O4'
_cell_length_a 3.948
_cell_length_b 3.948
_cell_length_c 5.420
_cell_angle_alpha 90.00
_cell_angle_beta 90.00
_cell_angle_gamma 90.00
_space_group_name_H-M_alt 'P 1'
_space_group_IT_number 1
_space_group_name_Hall 'P 1'
loop_
_atom_site_label
_atom_site_fract_x
_atom_site_fract_y
_atom_site_fract_z
Dy1 0.500 0.500 0.500
O1 0.500 0.000 0.253
O2 0.500 0.000 0.747
O3 0.000 0.500 0.253
O4 0.000 0.500 0.747
Th1 0.000 0.000 0.000
# Electronic total energy = -0.6334 Ry/atom
# Formation energy from raw total energies = -3.309 eV/atom
# Size of the total moment = 1.0 μB per formula unit
# Crystal system = tetragonal
# Space group = P4/mmm, No. 123



The lowest electronic total energy belongs to which entry? DyThO4



Look up the size of the total moment of the first one. 0.0 μB per formula unit



What did the second record say?
# DyThO4 (PBE, optimized geometry)
data_DyThO4
_chemical_formula_sum 'Dy1 Th1 O4'
_cell_length_a 3.948
_cell_length_b 3.948
_cell_length_c 5.420
_cell_angle_alpha 90.00
_cell_angle_beta 90.00
_cell_angle_gamma 90.00
_space_group_name_H-M_alt 'P 1'
_space_group_IT_number 1
_space_group_name_Hall 'P 1'
loop_
_atom_site_label
_atom_site_fract_x
_atom_site_fract_y
_atom_site_fract_z
Dy1 0.500 0.500 0.500
O1 0.500 0.000 0.253
O2 0.500 0.000 0.747
O3 0.000 0.500 0.253
O4 0.000 0.500 0.747
Th1 0.000 0.000 0.000
# Electronic total energy = -0.6334 Ry/atom
# Formation energy from raw total energies = -3.309 eV/atom
# Size of the total moment = 1.0 μB per formula unit
# Crystal system = tetragonal
# Space group = P4/mmm, No. 123



What is the size of the total moment in the first record? 0.0 μB per formula unit